Here is crystalline Pr2BiN at its relaxed geometry from the Alexandria database. Energies are from PBE-GGA.

It has space group R-3m (No. 166, hexagonal axes), with a = 3.6398 Å, b = 3.6398 Å, c = 28.3027 Å, α = 90.00°, β = 90.00° and γ = 120.00°. The inequivalent atoms are Pr at (0.0000, 0.0000, 0.1166), Bi at (0.0000, 0.0000, 0.0000) and N at (0.0000, 0.0000, 0.5000).

The theoretical density is 7.7 g cm⁻³. The value obtained for the uncorrected energy is -6.156 eV/atom. The formation energy without anion corrections comes out at -69.0 kJ per mole of atoms. Its energy above the most stable polymorph in this dataset is 0.420 eV per atom.